#A
An optimized crystal structure of BiRuSN2, computed with PBE.

Geometry as POSCAR:
```
BiRuSN2
1.0
-1.972 -3.402 0.018
0.566 -0.307 3.879
-4.250 2.467 0.816
S Ru N Bi
1 1 2 1
direct
0.000 0.000 0.500
0.000 0.000 0.000
0.000 0.500 0.000
0.500 0.000 0.000
0.500 0.500 0.500
```

**Space group**: P4/mmm (123)
**Total moment**: 0.22 μB per formula unit
**Volume**: 77 Å³ per cell
**Density**: 8.0 g/cm³

---

#B
An optimized crystal structure of BiRuSN2, computed with PBE.

Geometry as POSCAR:
```
BiRuSN2
1.0
-0.645 -0.258 -4.177
4.182 0.107 -0.653
0.185 -5.401 0.305
Ru Bi S N
1 1 1 2
direct
0.500 0.500 0.500
0.000 0.000 0.000
0.000 0.000 0.500
0.500 0.000 0.000
0.000 0.500 0.000
```

**Space group**: P4/mmm (123)
**Total moment**: 5.30 μB per formula unit
**Volume**: 97 Å³ per cell
**Density**: 6.3 g/cm³

---

Which of them is least stable? Easy: #B.

---

#A
An optimized crystal structure of BiRuSe2N, computed with PBE.

Geometry as POSCAR:
```
BiRuSe2N
1.0
5.570 0.000 0.000
0.000 5.209 0.000
0.000 0.000 5.570
Se Ru Bi N
2 1 1 1
direct
0.500 0.000 0.000
0.000 0.000 0.500
0.000 0.500 0.000
0.000 0.000 0.000
0.500 0.500 0.500
```

**Space group**: P4/mmm (123)
**Total moment**: 2.82 μB per formula unit
**Volume**: 162 Å³ per cell
**Density**: 5.0 g/cm³

---

#B
An optimized crystal structure of BiRuSe2N, computed with PBE.

Geometry as POSCAR:
```
BiRuSe2N
1.0
-1.864 -3.395 -3.881
-3.524 -2.174 3.594
-2.945 2.907 -1.129
Se N Ru Bi
2 1 1 1
direct
0.500 0.000 0.000
0.000 0.500 0.000
0.000 0.000 0.500
0.500 0.500 0.500
0.000 0.000 0.000
```

**Space group**: P4/mmm (123)
**Total moment**: 4.84 μB per formula unit
**Volume**: 129 Å³ per cell
**Density**: 6.2 g/cm³

---

Which of them is least stable? Easy: #A.

---

#A
An optimized crystal structure of BiRuSeN2, computed with PBE.

Geometry as POSCAR:
```
BiRuSeN2
1.0
4.218 0.000 0.000
0.000 4.218 0.000
0.000 0.000 5.831
N Se Ru Bi
2 1 1 1
direct
0.000 0.500 0.000
0.500 0.000 0.000
0.000 0.000 0.500
0.500 0.500 0.500
0.000 0.000 0.000
```

**Space group**: P4/mmm (123)
**Total moment**: 4.79 μB per formula unit
**Volume**: 104 Å³ per cell
**Density**: 6.7 g/cm³

---

#B
An optimized crystal structure of BiRuSeN2, computed with PBE.

Geometry as POSCAR:
```
BiRuSeN2
1.0
3.981 0.000 0.000
0.000 3.981 0.000
0.000 0.000 5.210
N Ru Se Bi
2 1 1 1
direct
0.000 0.500 0.000
0.500 0.000 0.000
0.000 0.000 0.000
0.000 0.000 0.500
0.500 0.500 0.500
```

**Space group**: P4/mmm (123)
**Total moment**: 0.00 μB per formula unit
**Volume**: 83 Å³ per cell
**Density**: 8.4 g/cm³

---

Which of them is least stable? Easy: #A.

---

#A
An optimized crystal structure of BiS2N, computed with PBE.

Geometry as POSCAR:
```
BiS2N
1.0
0.816 0.244 8.206
3.901 -0.642 7.241
3.005 2.588 7.234
S N Bi
2 1 1
direct
0.883 0.883 0.883
0.117 0.117 0.117
0.500 0.500 0.500
0.000 0.000 0.000
```

**Space group**: R-3m (166)
**Total moment**: 0.00 μB per formula unit
**Volume**: 78 Å³ per cell
**Density**: 6.1 g/cm³

---

#B
An optimized crystal structure of BiS2N, computed with PBE.

Geometry as POSCAR:
```
BiS2N
1.0
0.000 3.353 3.353
3.353 0.000 3.353
3.353 3.353 0.000
N Bi S
1 1 2
direct
0.000 0.000 0.000
0.500 0.500 0.500
0.250 0.250 0.250
0.750 0.750 0.750
```

**Space group**: Fm-3m (225)
**Total moment**: 1.79 μB per formula unit
**Volume**: 75 Å³ per cell
**Density**: 6.3 g/cm³

---

#C
An optimized crystal structure of BiS2N, computed with PBE.

Geometry as POSCAR:
```
BiS2N
1.0
-3.130 5.407 -0.400
-3.458 4.053 3.287
-0.157 5.880 2.144
S Bi N
2 1 1
direct
0.259 0.259 0.259
0.741 0.741 0.741
0.500 0.500 0.500
0.000 0.000 0.000
```

**Space group**: R-3m (166)
**Total moment**: 1.99 μB per formula unit
**Volume**: 78 Å³ per cell
**Density**: 6.1 g/cm³

---

Which of them is least stable? Easy: #B.

---

#A
An optimized crystal structure of BiS2N, computed with PBE.

Geometry as POSCAR:
```
BiS2N
1.0
5.496 0.000 0.000
0.000 5.496 0.000
2.748 2.748 5.213
Bi S N
2 4 2
direct
0.000 0.000 0.000
0.750 0.250 0.500
0.448 0.125 0.250
0.375 0.552 0.750
0.875 0.698 0.750
0.302 0.625 0.250
0.250 0.750 0.500
0.500 0.500 0.000
```

**Space group**: I-42d (122)
**Total moment**: 0.00 μB per formula unit
**Volume**: 157 Å³ per cell
**Density**: 6.1 g/cm³

---

#B
An optimized crystal structure of BiS2N, computed with PBE.

Geometry as POSCAR:
```
BiS2N
1.0
6.819 0.284 0.370
2.762 3.486 1.673
2.265 3.647 5.530
S Bi N
2 1 1
direct
0.360 0.189 0.272
0.971 0.074 0.838
0.694 0.585 0.029
0.475 0.653 0.362
```

**Space group**: P1 (1)
**Total moment**: 0.00 μB per formula unit
**Volume**: 87 Å³ per cell
**Density**: 5.5 g/cm³

---

Which of them is least stable? Easy: #A.

---

#A
An optimized crystal structure of BiSeS2N, computed with PBE.

Geometry as POSCAR:
```
BiSeS2N
1.0
-1.939 -4.411 2.168
-0.407 -2.179 -4.796
3.826 -1.505 0.359
Bi S Se N
1 2 1 1
direct
0.000 0.000 0.000
0.500 0.000 0.000
0.000 0.500 0.000
0.500 0.500 0.500
0.000 0.000 0.500
```

**Space group**: P4/mmm (123)
**Total moment**: 0.00 μB per formula unit
**Volume**: 115 Å³ per cell
**Density**: 5.3 g/cm³

---

#B
An optimized crystal structure of BiSeS2N, computed with PBE.

Geometry as POSCAR:
```
BiSeS2N
1.0
-0.467 3.870 3.216
-3.351 2.170 -3.098
-2.759 -1.778 1.739
Bi Se S N
1 1 2 1
direct
0.500 0.500 0.500
0.000 0.000 0.000
0.000 0.500 0.000
0.500 0.000 0.000
0.000 0.000 0.500
```

**Space group**: P4/mmm (123)
**Total moment**: 0.00 μB per formula unit
**Volume**: 95 Å³ per cell
**Density**: 6.4 g/cm³

---

Which of them is least stable? Easy: #A.